# Li2SnBi2O6 | Alexandria via LeMat-Bulk | PBE | optimized geometry
data_Li2SnBi2O6
_cell_length_a 5.9417
_cell_length_b 5.9417
_cell_length_c 15.8407
_cell_angle_alpha 90.00
_cell_angle_beta 90.00
_cell_angle_gamma 120.00
_symmetry_space_group_name_H-M 'R -3 m'
_symmetry_Int_Tables_number 166
_symmetry_space_group_name_Hall '-R 3 2"'
loop_
_atom_site_label
_atom_site_type_symbol
_atom_site_fract_x
_atom_site_fract_y
_atom_site_fract_z
_atom_site_occupancy
Li1 Li 0.0000 0.0000 0.0823 1
Sn1 Sn 0.0000 0.0000 0.5000 1
Bi1 Bi 0.0000 0.0000 0.3104 1
O1 O 0.0320 0.5160 0.2574 1
# raw total energy: -5.543 eV per atom
# energy relative to the elements, uncorrected: -15.63 eV per formula unit
# total magnetic moment: 0.000 μB/atom